Here is a geometry-optimized TbMnSi3Ir structure from Alexandria. Energies are from GGA-PBE.

Cell: 7.437 10.897 5.402 Å, 90.00 90.00 90.00°
Space group Cmcm (No. 63)
One atom of each set of equivalent atoms:
Tb: 0.000 0.240 0.250 [4 per cell]
Mn: 0.000 0.046 0.750 [4 per cell]
Si: 0.000 0.239 0.750 [4 per cell]
Si: 0.240 0.000 0.000 [8 per cell]
Ir: 0.000 0.442 0.750 [4 per cell]

Summary:
ΔE_f (raw) in kJ/mol of atoms: -37

***

Here is a geometry-optimized Sc4TlHg5 structure from Alexandria. Energies are from GGA-PBE.

Cell: 3.535 3.535 18.391 Å, 90.00 90.00 90.00°
Space group P4/mmm (No. 123)
One atom of each set of equivalent atoms:
Sc: 0.000 0.000 0.095 [2 per cell]
Sc: 0.000 0.000 0.287 [2 per cell]
Tl: 0.000 0.000 0.500 [1 per cell]
Hg: 0.500 0.500 0.000 [1 per cell]
Hg: 0.500 0.500 0.188 [2 per cell]
Hg: 0.500 0.500 0.378 [2 per cell]

Summary:
ΔE_f in eV per atom: -0.325